Entry P
Computed, not measured: crystalline PuCd3Au3 at its relaxed geometry at the PBE level of DFT.

a = 7.5723 Å, b = 7.5723 Å, c = 7.5723 Å
α = 90.00°, β = 90.00°, γ = 90.00°
With the nearest neighbours (Å) after each atom.
Atoms (fractional coordinates):
Pu: 0.0000 0.0000 0.0000  12 Cd 4.23, 12 Au 4.23
Pu: 0.5000 0.5000 0.5000  12 Cd 4.23, 12 Au 4.23
Cd: 0.0000 0.2500 0.5000  4 Au 2.68
Cd: 0.0000 0.7500 0.5000  4 Au 2.68
Cd: 0.2500 0.5000 0.0000  4 Au 2.68
Cd: 0.5000 0.0000 0.2500  4 Au 2.68
Cd: 0.5000 0.0000 0.7500  4 Au 2.68
Cd: 0.7500 0.5000 0.0000  4 Au 2.68
Au: 0.0000 0.5000 0.2500  4 Cd 2.68
Au: 0.0000 0.5000 0.7500  4 Cd 2.68
Au: 0.2500 0.0000 0.5000  4 Cd 2.68
Au: 0.5000 0.2500 0.0000  4 Cd 2.68
Au: 0.5000 0.7500 0.0000  4 Cd 2.68
Au: 0.7500 0.0000 0.5000  4 Cd 2.68

Results
- Spin magnetization: 6.09 μB/f.u.
- Crystal system: cubic


Entry Q
Computed, not measured: crystalline PuCd3Au3 at its relaxed geometry at the PBE level of DFT.

a = 8.6167 Å, b = 8.6167 Å, c = 4.7597 Å
α = 90.00°, β = 90.00°, γ = 120.00°
With the nearest neighbours (Å) after each atom.
Atoms (fractional coordinates):
Pu: 0.3333 0.6667 0.2500  9 Au 3.10-3.14, 3 Cd 3.47
Pu: 0.6667 0.3333 0.7500  9 Au 3.10-3.14, 3 Cd 3.47
Cd: 0.0097 0.7765 0.7500  4 Au 2.84-3.03, 4 Cd 3.09
Cd: 0.2235 0.2331 0.7500  4 Au 2.84-3.03, 4 Cd 3.09
Cd: 0.2331 0.0097 0.2500  4 Au 2.84-3.03, 4 Cd 3.09
Cd: 0.7669 0.9903 0.7500  4 Au 2.84-3.03, 4 Cd 3.09
Cd: 0.7765 0.7669 0.2500  4 Au 2.84-3.03, 4 Cd 3.09
Cd: 0.9903 0.2235 0.2500  4 Au 2.84-3.03, 4 Cd 3.09
Au: 0.0725 0.4605 0.7500  4 Cd 2.84-3.03, 2 Au 2.92, 3 Pu 3.10-3.14
Au: 0.3880 0.9275 0.7500  4 Cd 2.84-3.03, 2 Au 2.92, 3 Pu 3.10-3.14
Au: 0.4605 0.3880 0.2500  4 Cd 2.84-3.03, 2 Au 2.92, 3 Pu 3.10-3.14
Au: 0.5395 0.6120 0.7500  4 Cd 2.84-3.03, 2 Au 2.92, 3 Pu 3.10-3.14
Au: 0.6120 0.0725 0.2500  4 Cd 2.84-3.03, 2 Au 2.92, 3 Pu 3.10-3.14
Au: 0.9275 0.5395 0.2500  4 Cd 2.84-3.03, 2 Au 2.92, 3 Pu 3.10-3.14

Results
- Spin magnetization: 5.53 μB/f.u.
- Crystal system: hexagonal


entry Q ends up most stable, edging out the next structure by 515 meV/atom.


Entry P
Computed, not measured: crystalline PuCd2Au8 at its relaxed geometry at the PBE level of DFT.

a = 8.0531 Å, b = 8.0531 Å, c = 5.2234 Å
α = 108.84°, β = 108.84°, γ = 119.11°
With the nearest neighbours (Å) after each atom.
Atoms (fractional coordinates):
Pu: 0.0000 0.0000 0.0000  8 Au 3.01-3.14
Cd: 0.3135 0.6865 0.5000  10 Au 2.91-3.17
Cd: 0.6865 0.3135 0.5000  10 Au 2.91-3.17
Au: 0.0880 0.3340 0.6449  5 Au 2.74-2.93, 2 Cd 2.98-3.03
Au: 0.2167 0.7833 0.0000  4 Au 2.89-2.93, 4 Cd 2.94-3.17, 1 Pu 3.01
Au: 0.3340 0.0880 0.6449  5 Au 2.74-2.93, 2 Cd 2.98-3.03
Au: 0.4446 0.4446 0.1987  6 Au 2.66-2.93, 2 Cd 2.91
Au: 0.5554 0.5554 0.8013  6 Au 2.66-2.93, 2 Cd 2.91
Au: 0.6660 0.9120 0.3551  5 Au 2.74-2.93, 2 Cd 2.98-3.03
Au: 0.7833 0.2167 0.0000  4 Au 2.89-2.93, 4 Cd 2.94-3.17, 1 Pu 3.01
Au: 0.9120 0.6660 0.3551  5 Au 2.74-2.93, 2 Cd 2.98-3.03

Results
- Spin magnetization: 5.33 μB/f.u.
- Crystal system: monoclinic


Entry Q
Computed, not measured: crystalline PuCd2Au8 at its relaxed geometry at the PBE level of DFT.

a = 7.9030 Å, b = 7.9030 Å, c = 6.8416 Å
α = 105.89°, β = 105.89°, γ = 31.79°
With the nearest neighbours (Å) after each atom.
Atoms (fractional coordinates):
Pu: 0.0000 0.0000 0.0000  12 Au 3.03-3.09
Cd: 0.2746 0.2746 0.3510  10 Au 2.92-3.03, 2 Cd 3.20
Cd: 0.7254 0.7254 0.6490  10 Au 2.92-3.03, 2 Cd 3.20
Au: 0.0956 0.0956 0.4638  3 Cd 2.96-3.03, 8 Au 2.98-3.09, 1 Pu 3.09
Au: 0.1841 0.1841 0.9122  3 Cd 2.92-2.99, 8 Au 2.96-3.12, 1 Pu 3.03
Au: 0.3601 0.3601 0.8011  3 Cd 2.96-2.98, 7 Au 2.98-3.18, 2 Pu 3.07
Au: 0.4562 0.4562 0.2787  9 Au 2.94-3.18, 1 Cd 2.94, 2 Pu 3.08
Au: 0.5438 0.5438 0.7213  9 Au 2.94-3.18, 1 Cd 2.94, 2 Pu 3.08
Au: 0.6399 0.6399 0.1989  3 Cd 2.96-2.98, 7 Au 2.98-3.18, 2 Pu 3.07
Au: 0.8159 0.8159 0.0878  3 Cd 2.92-2.99, 8 Au 2.96-3.12, 1 Pu 3.03
Au: 0.9044 0.9044 0.5362  3 Cd 2.96-3.03, 8 Au 2.98-3.09, 1 Pu 3.09

Results
- Spin magnetization: 5.42 μB/f.u.
- Crystal system: monoclinic


entry Q ends up most stable, edging out the next structure by 26 meV/atom.


Entry P
Computed, not measured: crystalline PuCd4Au5 at its relaxed geometry at the PBE level of DFT.

a = 3.3625 Å, b = 3.3625 Å, c = 18.0130 Å
α = 90.00°, β = 90.00°, γ = 90.00°
With the nearest neighbours (Å) after each atom.
Atoms (fractional coordinates):
Pu: 0.0000 0.0000 0.0000  8 Au 3.13, 4 Pu 3.36
Cd: 0.0000 0.0000 0.2118  8 Au 2.94-2.97
Cd: 0.0000 0.0000 0.4043  8 Au 2.94
Cd: 0.0000 0.0000 0.5957  8 Au 2.94
Cd: 0.0000 0.0000 0.7882  8 Au 2.94-2.97
Au: 0.5000 0.5000 0.1133  4 Cd 2.97, 4 Pu 3.13
Au: 0.5000 0.5000 0.3081  8 Cd 2.94
Au: 0.5000 0.5000 0.5000  8 Cd 2.94
Au: 0.5000 0.5000 0.6919  8 Cd 2.94
Au: 0.5000 0.5000 0.8867  4 Cd 2.97, 4 Pu 3.13

Results
- Spin magnetization: 5.44 μB/f.u.
- Crystal system: tetragonal


Entry Q
Computed, not measured: crystalline PuCd4Au5 at its relaxed geometry at the PBE level of DFT.

a = 2.9578 Å, b = 2.9578 Å, c = 24.6392 Å
α = 90.00°, β = 90.00°, γ = 90.00°
With the nearest neighbours (Å) after each atom.
Atoms (fractional coordinates):
Pu: 0.0000 0.0000 0.0000  4 Pu 2.96, 2 Cd 3.15
Cd: 0.0000 0.0000 0.1277  4 Cd 2.96, 4 Au 3.05, 1 Pu 3.15
Cd: 0.0000 0.0000 0.3047  8 Au 2.94-3.00, 4 Cd 2.96
Cd: 0.0000 0.0000 0.6953  8 Au 2.94-3.00, 4 Cd 2.96
Cd: 0.0000 0.0000 0.8723  4 Cd 2.96, 4 Au 3.05, 1 Pu 3.15
Au: 0.5000 0.5000 0.2176  4 Au 2.96, 8 Cd 3.00-3.05
Au: 0.5000 0.5000 0.3888  5 Au 2.74-2.96, 4 Cd 2.94
Au: 0.5000 0.5000 0.5000  6 Au 2.74-2.96
Au: 0.5000 0.5000 0.6112  5 Au 2.74-2.96, 4 Cd 2.94
Au: 0.5000 0.5000 0.7824  4 Au 2.96, 8 Cd 3.00-3.05

Results
- Spin magnetization: 6.28 μB/f.u.
- Crystal system: tetragonal


entry P ends up most stable, edging out the next structure by 312 meV/atom.


Entry P
Computed, not measured: crystalline Pu3CdAu4 at its relaxed geometry at the PBE level of DFT.

a = 3.3976 Å, b = 3.3976 Å, c = 15.7178 Å
α = 90.00°, β = 90.00°, γ = 90.00°
With the nearest neighbours (Å) after each atom.
Atoms (fractional coordinates):
Pu: 0.0000 0.0000 0.0000  8 Au 3.15, 4 Pu 3.40
Pu: 0.0000 0.0000 0.2618  8 Au 3.12-3.17, 4 Pu 3.40
Pu: 0.0000 0.0000 0.7382  8 Au 3.12-3.17, 4 Pu 3.40
Cd: 0.0000 0.0000 0.5000  8 Au 2.98
Au: 0.5000 0.5000 0.1299  8 Pu 3.15-3.17, 4 Au 3.40
Au: 0.5000 0.5000 0.3882  4 Cd 2.98, 4 Pu 3.12
Au: 0.5000 0.5000 0.6118  4 Cd 2.98, 4 Pu 3.12
Au: 0.5000 0.5000 0.8701  8 Pu 3.15-3.17, 4 Au 3.40

Results
- Spin magnetization: 5.66 μB/f.u.
- Crystal system: tetragonal


Entry Q
Computed, not measured: crystalline Pu3CdAu4 at its relaxed geometry at the PBE level of DFT.

a = 7.9076 Å, b = 7.9076 Å, c = 5.2212 Å
α = 105.48°, β = 105.48°, γ = 36.48°
With the nearest neighbours (Å) after each atom.
Atoms (fractional coordinates):
Pu: 0.0000 0.0000 0.0000  4 Au 3.12, 2 Pu 3.21
Pu: 0.1459 0.1459 0.5834  7 Au 2.96-3.25, 1 Pu 3.21, 2 Cd 3.25
Pu: 0.8541 0.8541 0.4166  7 Au 2.96-3.25, 1 Pu 3.21, 2 Cd 3.25
Cd: 0.5000 0.5000 0.5000  2 Au 2.93, 4 Pu 3.25
Au: 0.2451 0.2451 0.1680  5 Au 2.93-3.06, 4 Pu 2.96-3.05
Au: 0.3704 0.3704 0.8276  3 Au 2.93-3.03, 1 Cd 2.93, 5 Pu 3.12-3.25
Au: 0.6296 0.6296 0.1724  3 Au 2.93-3.03, 1 Cd 2.93, 5 Pu 3.12-3.25
Au: 0.7549 0.7549 0.8320  5 Au 2.93-3.06, 4 Pu 2.96-3.05

Results
- Spin magnetization: 17.34 μB/f.u.
- Crystal system: monoclinic


entry P ends up most stable, edging out the next structure by 98 meV/atom.


Entry P
Computed, not measured: crystalline RbCdAu3 at its relaxed geometry at the PBE level of DFT.

a = 7.6077 Å, b = 7.6077 Å, c = 7.6077 Å
α = 136.29°, β = 94.55°, γ = 101.40°
With the nearest neighbours (Å) after each atom.
Atoms (fractional coordinates):
Rb: 0.3322 0.0822 0.2500  6 Au 3.45-3.72
Rb: 0.6678 0.9178 0.7500  6 Au 3.45-3.72
Cd: 0.0000 0.5000 0.5000  6 Au 2.83
Cd: 0.5000 0.5000 0.0000  6 Au 2.83
Au: 0.1285 0.3785 0.7500  2 Cd 2.83, 4 Au 2.84
Au: 0.2057 0.0000 0.7057  2 Cd 2.83, 4 Au 2.83-2.84
Au: 0.2057 0.5000 0.2057  2 Cd 2.83, 4 Au 2.83-2.84
Au: 0.7943 0.0000 0.2943  2 Cd 2.83, 4 Au 2.83-2.84
Au: 0.7943 0.5000 0.7943  2 Cd 2.83, 4 Au 2.83-2.84
Au: 0.8715 0.6215 0.2500  2 Cd 2.83, 4 Au 2.84

Results
- Spin magnetization: 0.00 μB/f.u.
- Crystal system: orthorhombic


Entry Q
Computed, not measured: crystalline RbCdAu3 at its relaxed geometry at the PBE level of DFT.

a = 5.3716 Å, b = 5.3716 Å, c = 5.3716 Å
α = 90.00°, β = 90.00°, γ = 90.00°
With the nearest neighbours (Å) after each atom.
Atoms (fractional coordinates):
Rb: 0.0000 0.0000 0.0000  12 Au 3.80
Cd: 0.5000 0.5000 0.5000  6 Au 2.69
Au: 0.0000 0.5000 0.5000  2 Cd 2.69
Au: 0.5000 0.0000 0.5000  2 Cd 2.69
Au: 0.5000 0.5000 0.0000  2 Cd 2.69

Results
- Spin magnetization: 0.00 μB/f.u.
- Crystal system: cubic


entry P ends up most stable, edging out the next structure by 235 meV/atom.


Entry P
Computed, not measured: crystalline RbCd2Au at its relaxed geometry at the PBE level of DFT.

a = 6.8026 Å, b = 6.8026 Å, c = 8.3840 Å
α = 90.00°, β = 90.00°, γ = 138.82°
With the nearest neighbours (Å) after each atom.
Atoms (fractional coordinates):
Rb: 0.0416 0.9584 0.7500  3 Au 3.53-3.71, 2 Cd 3.80
Rb: 0.9584 0.0416 0.2500  3 Au 3.53-3.71, 2 Cd 3.80
Cd: 0.3147 0.6853 0.5688  3 Au 2.86-2.90, 3 Cd 3.04-3.13
Cd: 0.3147 0.6853 0.9312  3 Au 2.86-2.90, 3 Cd 3.04-3.13
Cd: 0.6853 0.3147 0.0688  3 Au 2.86-2.90, 3 Cd 3.04-3.13
Cd: 0.6853 0.3147 0.4312  3 Au 2.86-2.90, 3 Cd 3.04-3.13
Au: 0.2355 0.7645 0.2500  6 Cd 2.86-2.90
Au: 0.7645 0.2355 0.7500  6 Cd 2.86-2.90

Results
- Spin magnetization: 0.00 μB/f.u.
- Crystal system: orthorhombic


Entry Q
Computed, not measured: crystalline RbCd2Au at its relaxed geometry at the PBE level of DFT.

a = 10.4917 Å, b = 10.4917 Å, c = 10.4917 Å
α = 149.19°, β = 149.19°, γ = 44.13°
With the nearest neighbours (Å) after each atom.
Atoms (fractional coordinates):
Rb: 0.3750 0.6250 0.7500  4 Au 3.94, 8 Cd 3.95
Rb: 0.6250 0.3750 0.2500  4 Au 3.94, 8 Cd 3.95
Cd: 0.0000 0.0000 0.0000  2 Cd 2.79, 2 Au 2.80
Cd: 0.0000 0.0000 0.5000  2 Cd 2.79, 2 Au 2.80
Cd: 0.0000 0.5000 0.0000  2 Cd 2.79, 2 Au 2.80
Cd: 0.5000 0.0000 0.5000  2 Cd 2.79, 2 Au 2.80
Au: 0.1250 0.8750 0.2500  4 Cd 2.80
Au: 0.8750 0.1250 0.7500  4 Cd 2.80

Results
- Spin magnetization: 0.00 μB/f.u.
- Crystal system: tetragonal


Entry R
Computed, not measured: crystalline RbCd2Au at its relaxed geometry at the PBE level of DFT.

a = 4.7883 Å, b = 4.7883 Å, c = 11.0256 Å
α = 90.00°, β = 90.00°, γ = 90.00°
With the nearest neighbours (Å) after each atom.
Atoms (fractional coordinates):
Rb: 0.2500 0.2500 0.2381  9 Cd 3.58-3.77, 4 Au 3.60
Rb: 0.7500 0.7500 0.7619  9 Cd 3.58-3.77, 4 Au 3.60
Cd: 0.2500 0.2500 0.9131  1 Au 2.90
Cd: 0.2500 0.7500 0.5000  4 Au 2.91
Cd: 0.7500 0.2500 0.5000  4 Au 2.91
Cd: 0.7500 0.7500 0.0869  1 Au 2.90
Au: 0.2500 0.2500 0.6504  5 Cd 2.90-2.91
Au: 0.7500 0.7500 0.3496  5 Cd 2.90-2.91

Results
- Spin magnetization: 0.00 μB/f.u.
- Crystal system: tetragonal


entry P ends up most stable, edging out the next structure by 65 meV/atom.